Record 1
This record from Alexandria describes crystalline SrCdSi3 at its relaxed geometry. The functional is PBE-GGA.

Values from the calculation:
D(E_F) (states/eV per atom): 1.75
ΔE to the lowest computed polymorph (meV per atom): 937
Electronic total energy (eV per atom): -2.17
Calculated volume (Å³ per cell): 178.3
Formation energy without anion corrections (eV per formula unit): 8.019

Structure (POSCAR):
```
SrCdSi3
1.0
5.629 0.000 0.000
0.000 5.629 0.000
0.000 0.000 5.629
Sr Cd Si
1 1 3
Direct
0.000 0.000 0.000
0.500 0.500 0.500
0.000 0.000 0.500
0.000 0.500 0.000
0.500 0.000 0.000
```

Record 2
This record from Alexandria describes crystalline KTi3V at its relaxed geometry. The functional is PBE-GGA.

Values from the calculation:
D(E_F) (states/eV per atom): 1.96
ΔE to the lowest computed polymorph (meV per atom): 0
Electronic total energy (eV per atom): -5.79
Calculated volume (Å³ per cell): 113.4
Energy of formation (eV/atom): 0.99

Structure (POSCAR):
```
KTi3V
1.0
4.840 0.000 0.000
0.000 4.840 0.000
0.000 0.000 4.840
K Ti V
1 3 1
Direct
0.000 0.000 0.000
0.000 0.500 0.500
0.500 0.000 0.500
0.500 0.500 0.000
0.500 0.500 0.500
```

Record 3
This record from Alexandria describes crystalline SrCuRu2 at its relaxed geometry. The functional is PBE-GGA.

Values from the calculation:
D(E_F) (states/eV per atom): 1.14
ΔE to the lowest computed polymorph (meV per atom): 686
Electronic total energy (eV per atom): -5.24
Calculated volume (Å³ per cell): 70.0
Energy of formation (eV/atom): 0.84

Structure (POSCAR):
```
SrCuRu2
1.0
2.787 -4.607 0.000
2.787 4.607 0.000
0.000 0.000 2.725
Sr Cu Ru
1 1 2
Direct
0.000 0.000 0.000
0.500 0.500 0.000
0.000 0.500 0.500
0.500 0.000 0.500
```

Record 4
This record from Alexandria describes crystalline TbYInGa at its relaxed geometry. The functional is PBE-GGA.

Values from the calculation:
D(E_F) (states/eV per atom): 0.44
ΔE to the lowest computed polymorph (meV per atom): 0
Electronic total energy (eV per atom): -4.75
Calculated volume (Å³ per cell): 99.7
Energy of formation (eV/atom): -0.54

Structure (POSCAR):
```
TbYInGa
1.0
3.601 0.000 0.000
0.000 3.601 0.000
0.000 0.000 7.688
Tb Y In Ga
1 1 1 1
Direct
0.000 0.000 0.000
0.000 0.000 0.470
0.500 0.500 0.734
0.500 0.500 0.235
```

Record 5
This record from Alexandria describes crystalline BTeO2F at its relaxed geometry. The functional is PBE-GGA.

Values from the calculation:
D(E_F) (states/eV per atom): 0.22
Electronic total energy (eV per atom): -4.22
Calculated volume (Å³ per cell): 76.8
Formation energy without anion corrections (eV per formula unit): 0.501

Structure (POSCAR):
```
BTeO2F
1.0
4.173 0.000 0.000
0.000 4.173 0.000
0.000 0.000 4.410
B Te O F
1 1 2 1
Direct
0.000 0.000 0.000
0.500 0.500 0.500
0.000 0.500 0.500
0.500 0.000 0.500
0.500 0.500 0.000
```

Record 6
This record from Alexandria describes crystalline TiTlSe3 at its relaxed geometry. The functional is PBE-GGA.

Values from the calculation:
D(E_F) (states/eV per atom): 0.39
Electronic total energy (eV per atom): -4.75
Calculated volume (Å³ per cell): 128.2
Formation energy without anion corrections (eV per formula unit): -3.050

Structure (POSCAR):
```
TiTlSe3
1.0
5.042 0.000 0.000
0.000 5.042 0.000
0.000 0.000 5.042
Ti Tl Se
1 1 3
Direct
0.000 0.000 0.000
0.500 0.500 0.500
0.000 0.000 0.500
0.000 0.500 0.000
0.500 0.000 0.000
```

Record 7
This record from Alexandria describes crystalline Tb3Y2Cu4 at its relaxed geometry. The functional is PBE-GGA.

Values from the calculation:
D(E_F) (states/eV per atom): 1.01
Electronic total energy (eV per atom): -4.98
Calculated volume (Å³ per cell): 414.4
Energy of formation (eV/atom): -0.18

Structure (POSCAR):
```
Tb3Y2Cu4
1.0
8.507 0.000 0.000
0.000 7.270 0.000
-2.258 0.000 6.700
Tb Y Cu
6 4 8
Direct
0.000 0.000 0.000
0.000 0.500 0.500
0.267 0.174 0.771
0.267 0.326 0.271
0.733 0.674 0.729
0.733 0.826 0.229
0.311 0.681 0.937
0.311 0.819 0.437
0.689 0.181 0.563
0.689 0.319 0.063
0.011 0.624 0.120
0.011 0.876 0.620
0.436 0.031 0.152
0.436 0.469 0.652
0.564 0.531 0.348
0.564 0.969 0.848
0.989 0.124 0.380
0.989 0.376 0.880
```

Record 8
This record from Alexandria describes crystalline AlV8Co2 at its relaxed geometry. The functional is PBE-GGA.

Values from the calculation:
D(E_F) (states/eV per atom): 1.08
Electronic total energy (eV per atom): -8.16
Calculated volume (Å³ per cell): 147.1
Energy of formation (eV/atom): 0.10

Structure (POSCAR):
```
AlV8Co2
1.0
5.488 -2.475 0.000
5.488 2.475 0.000
-1.430 0.000 5.416
Al V Co
1 8 2
Direct
0.000 0.000 0.000
0.171 0.636 0.589
0.200 0.200 0.786
0.364 0.829 0.411
0.408 0.408 0.085
0.592 0.592 0.915
0.636 0.171 0.589
0.800 0.800 0.214
0.829 0.364 0.411
0.227 0.227 0.229
0.773 0.773 0.771
```

Record 9
This record from Alexandria describes crystalline HoErTh at its relaxed geometry. The functional is PBE-GGA.

Values from the calculation:
D(E_F) (states/eV per atom): 1.49
ΔE to the lowest computed polymorph (meV per atom): 6
Electronic total energy (eV per atom): -5.50
Calculated volume (Å³ per cell): 94.4
Energy of formation (eV/atom): 0.02

Structure (POSCAR):
```
HoErTh
1.0
-1.781 1.781 7.447
1.781 -1.781 7.447
1.781 1.781 -7.447
Ho Er Th
1 1 1
Direct
0.000 0.000 0.000
0.324 0.324 0.000
0.663 0.663 0.000
```

Record 10
This record from Alexandria describes crystalline LiTi2InO at its relaxed geometry. The functional is PBE-GGA.

Values from the calculation:
D(E_F) (states/eV per atom): 0.61
Electronic total energy (eV per atom): -6.24
Calculated volume (Å³ per cell): 72.1
Formation energy without anion corrections (eV per formula unit): -5.793

Structure (POSCAR):
```
LiTi2InO
1.0
4.133 0.000 0.000
0.000 4.133 0.000
0.000 0.000 4.221
Li Ti In O
1 2 1 1
Direct
0.000 0.000 0.000
0.000 0.500 0.500
0.500 0.000 0.500
0.500 0.500 0.000
0.000 0.000 0.500
```

Record 11
This record from Alexandria describes crystalline Ga2NiIrRh at its relaxed geometry. The functional is PBE-GGA.

Values from the calculation:
D(E_F) (states/eV per atom): 0.96
Electronic total energy (eV per atom): -4.75
Calculated volume (Å³ per cell): 93.5
Energy of formation (eV/atom): 0.86

Structure (POSCAR):
```
Ga2NiIrRh
1.0
4.554 0.000 0.000
0.000 4.554 0.000
0.000 0.000 4.509
Ga Ni Ir Rh
2 1 1 1
Direct
0.000 0.500 0.000
0.500 0.000 0.000
0.000 0.000 0.500
0.500 0.500 0.500
0.000 0.000 0.000
```

Record 12
This record from Alexandria describes crystalline TlRe2 at its relaxed geometry. The functional is PBE-GGA.

Values from the calculation:
D(E_F) (states/eV per atom): 0.76
ΔE to the lowest computed polymorph (meV per atom): 309
Electronic total energy (eV per atom): -8.24
Calculated volume (Å³ per cell): 52.3
Energy of formation (eV/atom): 0.85

Structure (POSCAR):
```
TlRe2
1.0
-1.479 1.912 4.621
1.479 -1.912 4.621
1.479 1.912 -4.621
Tl Re
1 2
Direct
0.000 0.000 0.000
0.313 0.313 0.000
0.687 0.687 0.000
```

Record 13
This record from Alexandria describes crystalline Tl2SbPt9 at its relaxed geometry. The functional is PBE-GGA.

Values from the calculation:
D(E_F) (states/eV per atom): 0.74
Electronic total energy (eV per atom): -5.39
Calculated volume (Å³ per cell): 205.3
Formation energy without anion corrections (eV per formula unit): -1.420

Structure (POSCAR):
```
Tl2SbPt9
1.0
4.092 0.000 0.000
0.000 4.092 0.000
0.000 0.000 12.257
Tl Sb Pt
2 1 9
Direct
0.000 0.000 0.165
0.000 0.000 0.835
0.000 0.000 0.500
0.000 0.500 0.000
0.000 0.500 0.337
0.000 0.500 0.663
0.500 0.000 0.000
0.500 0.000 0.337
0.500 0.000 0.663
0.500 0.500 0.169
0.500 0.500 0.500
0.500 0.500 0.831
```

Record 14
This record from Alexandria describes crystalline Sc2MnSe at its relaxed geometry. The functional is PBE-GGA.

Values from the calculation:
D(E_F) (states/eV per atom): 0.96
Electronic total energy (eV per atom): -6.33
Calculated volume (Å³ per cell): 82.2
Formation energy without anion corrections (eV per formula unit): 0.000

Structure (POSCAR):
```
Sc2MnSe
1.0
1.722 0.994 7.998
-1.722 0.994 7.998
0.000 -1.989 7.998
Sc Mn Se
2 1 1
Direct
0.091 0.091 0.091
0.909 0.909 0.909
0.000 0.000 0.000
0.500 0.500 0.500
```

Record 15
This record from Alexandria describes crystalline AcPm6SmHo2 at its relaxed geometry. The functional is PBE-GGA.

Values from the calculation:
D(E_F) (states/eV per atom): 1.44
Electronic total energy (eV per atom): -4.53
Calculated volume (Å³ per cell): 703.0
Energy of formation (eV/atom): 0.12

Structure (POSCAR):
```
AcPm6SmHo2
1.0
4.694 -7.711 0.000
4.694 7.711 0.000
-1.013 0.000 9.712
Ac Pm Sm Ho
2 12 2 4
Direct
0.030 0.970 0.750
0.970 0.030 0.250
0.013 0.554 0.680
0.119 0.752 0.055
0.248 0.881 0.445
0.292 0.512 0.881
0.446 0.987 0.820
0.488 0.708 0.619
0.512 0.292 0.381
0.554 0.013 0.180
0.708 0.488 0.119
0.752 0.119 0.555
0.881 0.248 0.945
0.987 0.446 0.320
0.410 0.590 0.250
0.590 0.410 0.750
0.202 0.310 0.548
0.310 0.202 0.048
0.690 0.798 0.952
0.798 0.690 0.452
```

Record 16
This record from Alexandria describes crystalline U2FeSi6Os at its relaxed geometry. The functional is PBE-GGA.

Values from the calculation:
D(E_F) (states/eV per atom): 0.98
Electronic total energy (eV per atom): -7.70
Calculated volume (Å³ per cell): 343.0
Formation energy without anion corrections (eV per formula unit): -2.159

Structure (POSCAR):
```
U2FeSi6Os
1.0
2.892 1.669 11.842
-2.892 1.669 11.842
0.000 -3.339 11.842
U Fe Si Os
4 2 12 2
Direct
0.126 0.126 0.126
0.284 0.284 0.284
0.716 0.716 0.716
0.874 0.874 0.874
0.000 0.000 0.000
0.500 0.500 0.500
0.071 0.660 0.660
0.189 0.189 0.774
0.189 0.774 0.189
0.226 0.811 0.811
0.340 0.340 0.929
0.340 0.929 0.340
0.660 0.071 0.660
0.660 0.660 0.071
0.774 0.189 0.189
0.811 0.226 0.811
0.811 0.811 0.226
0.929 0.340 0.340
0.422 0.422 0.422
0.578 0.578 0.578
```

Record 17
This record from Alexandria describes crystalline AcPm4Co at its relaxed geometry. The functional is PBE-GGA.

Values from the calculation:
D(E_F) (states/eV per atom): 1.33
ΔE to the lowest computed polymorph (meV per atom): 0
Electronic total energy (eV per atom): -5.02
Calculated volume (Å³ per cell): 392.6
Energy of formation (eV/atom): 0.01

Structure (POSCAR):
```
AcPm4Co
1.0
9.099 -3.763 0.000
9.099 3.763 0.000
-2.031 0.000 5.733
Ac Pm Co
2 8 2
Direct
0.197 0.197 0.198
0.803 0.803 0.802
0.137 0.634 0.385
0.242 0.758 0.000
0.330 0.330 0.831
0.366 0.863 0.615
0.634 0.137 0.385
0.670 0.670 0.169
0.758 0.242 0.000
0.863 0.366 0.615
0.499 0.499 0.317
0.501 0.501 0.683
```

Record 18
This record from Alexandria describes crystalline Cd2BiI8 at its relaxed geometry. The functional is PBE-GGA.

Values from the calculation:
D(E_F) (states/eV per atom): 0.12
Electronic total energy (eV per atom): -2.07
Calculated volume (Å³ per cell): 555.3
Formation energy without anion corrections (eV per formula unit): -4.635

Structure (POSCAR):
```
Cd2BiI8
1.0
6.170 -6.497 0.000
6.170 6.497 0.000
-0.600 0.000 6.926
Cd Bi I
2 1 8
Direct
0.240 0.240 0.160
0.760 0.760 0.840
0.000 0.000 0.500
0.056 0.717 0.728
0.222 0.222 0.750
0.283 0.944 0.272
0.470 0.470 0.248
0.530 0.530 0.752
0.717 0.056 0.728
0.778 0.778 0.250
0.944 0.283 0.272
```

Record 19
This record from Alexandria describes crystalline Th2TcAs at its relaxed geometry. The functional is PBE-GGA.

Values from the calculation:
D(E_F) (states/eV per atom): 1.14
ΔE to the lowest computed polymorph (meV per atom): 82
Electronic total energy (eV per atom): -7.96
Calculated volume (Å³ per cell): 105.3
Energy of formation (eV/atom): -0.50

Structure (POSCAR):
```
Th2TcAs
1.0
2.091 1.207 6.955
-2.091 1.207 6.955
0.000 -2.415 6.955
Th Tc As
2 1 1
Direct
0.242 0.242 0.242
0.758 0.758 0.758
0.500 0.500 0.500
0.000 0.000 0.000
```

Record 20
This record from Alexandria describes crystalline KScCdTe3 at its relaxed geometry. The functional is PBE-GGA.

Values from the calculation:
Electronic total energy (eV per atom): -3.92
Calculated volume (Å³ per cell): 413.1
Formation energy without anion corrections (eV per formula unit): -5.721

Structure (POSCAR):
```
KScCdTe3
1.0
9.304 0.000 0.000
0.000 4.378 0.000
-3.454 0.000 10.141
K Sc Cd Te
2 2 2 6
Direct
0.215 0.250 0.246
0.785 0.750 0.754
0.332 0.750 0.866
0.668 0.250 0.134
0.081 0.250 0.609
0.919 0.750 0.391
0.115 0.250 0.877
0.248 0.750 0.550
0.461 0.750 0.150
0.539 0.250 0.850
0.752 0.250 0.450
0.885 0.750 0.123
```